# 1
# Rb3Tl5In6 GGA-PBE optimized geometry
# raw total energy: -2.285 eV per atom
# ΔH_f (0 K): -59 meV per atom
data_Rb3Tl5In6
_chemical_formula_sum 'Rb6 Tl10 In12'
_cell_length_a 5.215
_cell_length_b 15.246
_cell_length_c 11.947
_cell_angle_alpha 90.00
_cell_angle_beta 90.00
_cell_angle_gamma 90.00
_symmetry_space_group_name_H-M 'P m m n'
_symmetry_Int_Tables_number 59
loop_
_symmetry_equiv_pos_as_xyz
'x,y,z'
'-x,-y,-z'
'-x+1/2,-y+1/2,z'
'x+1/2,y+1/2,-z'
'x+1/2,-y,-z'
'-x+1/2,y,z'
'-x,y+1/2,-z'
'x,-y+1/2,z'
loop_
_atom_site_label
_atom_site_fract_x
_atom_site_fract_y
_atom_site_fract_z
_atom_site_occupancy
Rb1 0.250 0.057 0.249 1
Rb2 0.250 0.750 0.250 1
Tl1 0.250 0.076 0.611 1
Tl2 0.250 0.601 0.978 1
Tl3 0.250 0.750 0.761 1
In1 0.250 0.092 0.881 1
In2 0.250 0.250 0.046 1
In3 0.250 0.250 0.447 1
In4 0.250 0.622 0.528 1


# 2
# Rb2Tl9In6 GGA-PBE optimized geometry
# raw total energy: -2.273 eV per atom
# ΔH_f (0 K): 60 meV per atom
data_Rb2Tl9In6
_chemical_formula_sum 'Rb2 Tl9 In6'
_cell_length_a 7.0890
_cell_length_b 7.0890
_cell_length_c 14.6687
_cell_angle_alpha 90.00
_cell_angle_beta 90.00
_cell_angle_gamma 120.00
_symmetry_space_group_name_H-M 'P 6/m m m'
_symmetry_Int_Tables_number 191
_symmetry_space_group_name_Hall '-P 6 2'
loop_
_atom_site_label
_atom_site_fract_x
_atom_site_fract_y
_atom_site_fract_z
_atom_site_occupancy
Rb1 0.0000 0.0000 0.1745 1
Tl1 0.0000 0.5000 0.0000 1
Tl2 0.0000 0.5000 0.3348 1
In1 0.3333 0.6667 0.1676 1
In2 0.3333 0.6667 0.5000 1


# 3
# Rb5Tl4In2 GGA-PBE optimized geometry
# raw total energy: -1.852 eV per atom
# ΔH_f (0 K): -54 meV per atom
data_Rb5Tl4In2
_chemical_formula_sum 'Rb10 Tl8 In4'
_cell_length_a 23.187
_cell_length_b 4.953
_cell_length_c 9.352
_cell_angle_alpha 90.00
_cell_angle_beta 91.47
_cell_angle_gamma 90.00
_symmetry_space_group_name_H-M 'C 1 2/m 1'
_symmetry_Int_Tables_number 12
loop_
_symmetry_equiv_pos_as_xyz
'x,y,z'
'-x,-y,-z'
'-x,y,-z'
'x,-y,z'
'x+1/2,y+1/2,z'
'-x+1/2,-y+1/2,-z'
'-x+1/2,y+1/2,-z'
'x+1/2,-y+1/2,z'
loop_
_atom_site_label
_atom_site_fract_x
_atom_site_fract_y
_atom_site_fract_z
_atom_site_occupancy
Rb1 0.000 0.000 0.000 1
Rb2 0.152 0.500 0.239 1
Rb3 0.159 0.500 0.767 1
Tl1 0.003 0.500 0.674 1
Tl2 0.208 0.000 0.501 1
In1 0.068 0.000 0.501 1